{"formula": "Cs2InMoF6", "functional": "PBE with a Hubbard U", "state": "optimized geometry", "energy_ev_per_atom": -4.81, "magmom_total_mub_per_cell": 6.10, "crystal_system": "orthorhombic", "lattice": [[6.733, 0.000, 0.000], [0.000, 9.514, 0.000], [0.000, 0.000, 6.726]], "species": ["Cs", "Cs", "Cs", "Cs", "In", "In", "Mo", "Mo", "F", "F", "F", "F", "F", "F", "F", "F", "F", "F", "F", "F"], "fractional_positions": [[0.250, 0.000, 0.249], [0.250, 0.500, 0.249], [0.750, 0.000, 0.751], [0.750, 0.500, 0.751], [0.250, 0.250, 0.751], [0.750, 0.750, 0.249], [0.250, 0.750, 0.745], [0.750, 0.250, 0.255], [0.028, 0.750, 0.522], [0.028, 0.750, 0.966], [0.250, 0.528, 0.744], [0.250, 0.972, 0.744], [0.472, 0.750, 0.522], [0.472, 0.750, 0.966], [0.528, 0.250, 0.034], [0.528, 0.250, 0.478], [0.750, 0.028, 0.256], [0.750, 0.472, 0.256], [0.972, 0.250, 0.034], [0.972, 0.250, 0.478]]}